{"formula": "Y2Er6Tm3In", "functional": "PBE", "state": "optimized geometry", "lattice": [[-2.7197, -5.2436, -1.1684], [6.0100, 0.2932, 0.2264], [-1.4095, -0.6677, 11.4729]], "species": ["Er", "Er", "Er", "Er", "Tm", "Y", "In", "Y", "Tm", "Tm", "Er", "Er"], "frac_coords": [[0.9173, 0.5878, 0.7504], [0.5878, 0.9173, 0.7504], [0.0827, 0.4122, 0.2496], [0.4122, 0.0827, 0.2496], [0.5000, 0.5000, 0.5000], [0.6661, 0.3339, 0.0000], [0.0000, 0.0000, 0.0000], [0.3339, 0.6661, 0.0000], [0.8333, 0.1667, 0.5000], [0.1667, 0.8333, 0.5000], [0.2465, 0.2465, 0.7492], [0.7535, 0.7535, 0.2508]], "formation_enthalpy_0k_ev_per_fu": -0.48, "total_magnetization_mub_per_fu": 0.0, "total_energy_ev_per_atom": -4.75}

***

{"formula": "YErTm2In", "functional": "PBE", "state": "optimized geometry", "lattice": [[5.2375, 0.0000, 0.0000], [-2.6188, 5.8267, 0.0000], [0.0000, 0.0000, 9.8383]], "species": ["Y", "Tm", "Er", "Y", "In", "Tm", "Er", "Tm", "In", "Tm"], "frac_coords": [[0.5000, 0.0000, 0.0000], [0.2000, 0.3999, 0.0779], [0.9264, 0.8527, 0.2500], [0.5000, 0.0000, 0.5000], [0.3429, 0.6859, 0.7500], [0.2000, 0.3999, 0.4221], [0.0736, 0.1473, 0.7500], [0.8000, 0.6001, 0.5779], [0.6571, 0.3141, 0.2500], [0.8000, 0.6001, 0.9221]], "formation_enthalpy_0k_ev_per_fu": -0.61, "total_magnetization_mub_per_fu": 0.0, "total_energy_ev_per_atom": -4.66}

***

{"formula": "Er2TmZn2In2", "functional": "PBE", "state": "optimized geometry", "lattice": [[-1.0799, 2.8094, 3.5934], [-3.8063, -0.8701, 2.5936], [3.2445, -4.4437, 7.5065]], "species": ["Er", "Tm", "Zn", "Er", "In", "Zn", "In"], "frac_coords": [[0.8726, 0.8726, 0.3821], [0.0000, 0.0000, 0.0000], [0.3945, 0.3945, 0.8164], [0.1274, 0.1274, 0.6179], [0.7370, 0.7370, 0.7889], [0.6055, 0.6055, 0.1836], [0.2630, 0.2630, 0.2111]], "formation_enthalpy_0k_ev_per_fu": -1.73, "total_magnetization_mub_per_fu": 0.0, "total_energy_ev_per_atom": -3.34}

***

{"formula": "ErU2In9", "functional": "PBE", "state": "optimized geometry", "lattice": [[4.6280, 0.0000, 0.0000], [0.0000, 4.6280, 0.0000], [0.0000, 0.0000, 13.8895]], "species": ["In", "In", "In", "U", "In", "In", "Er", "In", "U", "In", "In", "In"], "frac_coords": [[0.5000, 0.0000, 0.8340], [0.5000, 0.0000, 0.1660], [0.5000, 0.0000, 0.5000], [0.0000, 0.0000, 0.3321], [0.5000, 0.5000, 0.0000], [0.5000, 0.5000, 0.3336], [0.0000, 0.0000, 0.0000], [0.0000, 0.5000, 0.5000], [0.0000, 0.0000, 0.6679], [0.0000, 0.5000, 0.1660], [0.0000, 0.5000, 0.8340], [0.5000, 0.5000, 0.6664]], "formation_enthalpy_0k_ev_per_fu": -1.56, "total_magnetization_mub_per_fu": 5.4, "total_energy_ev_per_atom": -4.45}

***

{"formula": "Er2UIn9", "functional": "PBE", "state": "optimized geometry", "lattice": [[-2.5594, -3.6824, 1.0809], [3.8321, -2.5227, 0.4793], [0.6285, 3.5084, 13.4412]], "species": ["U", "In", "In", "Er", "In", "In", "In", "Er", "In", "In", "In", "In"], "frac_coords": [[0.0000, 0.0000, 0.0000], [0.5000, 0.0000, 0.8329], [0.5000, 0.0000, 0.5000], [0.0000, 0.0000, 0.6658], [0.0000, 0.5000, 0.1671], [0.5000, 0.5000, 0.6672], [0.5000, 0.5000, 0.0000], [0.0000, 0.0000, 0.3342], [0.5000, 0.5000, 0.3328], [0.0000, 0.5000, 0.5000], [0.5000, 0.0000, 0.1671], [0.0000, 0.5000, 0.8329]], "formation_enthalpy_0k_ev_per_fu": -3.06, "total_magnetization_mub_per_fu": 2.6, "total_energy_ev_per_atom": -4.01}

***

{"formula": "ErVIn", "functional": "PBE", "state": "optimized geometry", "lattice": [[-2.5611, 1.5417, -1.3111], [0.3326, -1.7749, -2.7368], [-7.3431, -9.4280, 3.2576]], "species": ["Er", "V", "In", "Er", "V", "In"], "frac_coords": [[0.2500, 0.4373, 0.1254], [0.7500, 0.7285, 0.5431], [0.2500, 0.1544, 0.6911], [0.7500, 0.5627, 0.8746], [0.2500, 0.2715, 0.4569], [0.7500, 0.8456, 0.3089]], "formation_enthalpy_0k_ev_per_fu": -0.06, "total_magnetization_mub_per_fu": 0.0, "total_energy_ev_per_atom": -5.49}

***

{"formula": "Y5Er3In2", "functional": "PBE", "state": "optimized geometry", "lattice": [[6.3087, 0.0000, 0.0000], [3.1543, 9.8687, -2.3806], [3.1543, 0.3236, 10.1466]], "species": ["Y", "In", "Y", "Er", "In", "Y", "In", "Y", "Er", "Y", "Y", "Y", "In", "Er", "Y", "Er", "Er", "Y", "Y", "Er"], "frac_coords": [[0.7500, 0.5000, 0.5000], [0.6343, 0.0108, 0.7205], [0.8750, 0.4583, 0.7917], [0.2500, 0.0000, 0.0000], [0.8657, 0.2795, 0.9892], [0.0010, 0.2490, 0.2490], [0.3657, 0.9892, 0.2795], [0.6250, 0.2083, 0.5417], [0.3944, 0.3262, 0.8850], [0.5010, 0.2490, 0.2490], [0.4990, 0.7510, 0.7510], [0.1250, 0.5417, 0.2083], [0.1343, 0.7205, 0.0108], [0.7500, 0.0000, 0.0000], [0.3750, 0.7917, 0.4583], [0.1056, 0.1150, 0.6738], [0.8944, 0.8850, 0.3262], [0.9990, 0.7510, 0.7510], [0.2500, 0.5000, 0.5000], [0.6056, 0.6738, 0.1150]], "formation_enthalpy_0k_ev_per_fu": 1.26, "total_magnetization_mub_per_fu": 0.0, "total_energy_ev_per_atom": -5.02}

***

{"formula": "Y2ErIn9", "functional": "PBE", "state": "optimized geometry", "lattice": [[-2.1552, -3.1750, 2.6047], [2.4470, -3.3552, -2.0651], [9.8863, 1.2428, 9.6953]], "species": ["Y", "In", "In", "In", "In", "In", "In", "Er", "Y", "In", "In", "In"], "frac_coords": [[0.0000, 0.0000, 0.3330], [0.5000, 0.5000, 0.0000], [0.0000, 0.5000, 0.1654], [0.0000, 0.5000, 0.5000], [0.5000, 0.0000, 0.1654], [0.5000, 0.0000, 0.8346], [0.5000, 0.5000, 0.3329], [0.0000, 0.0000, 0.0000], [0.0000, 0.0000, 0.6670], [0.0000, 0.5000, 0.8346], [0.5000, 0.0000, 0.5000], [0.5000, 0.5000, 0.6671]], "formation_enthalpy_0k_ev_per_fu": -4.94, "total_magnetization_mub_per_fu": 0.0, "total_energy_ev_per_atom": -3.92}

***

{"formula": "YEr3In2", "functional": "PBE", "state": "optimized geometry", "lattice": [[-2.0750, -3.7480, -3.1061], [8.7402, -2.0553, 1.1489], [-6.5780, -1.5525, 6.2675]], "species": ["In", "Y", "Er", "Er", "Er", "Y", "Er", "Er", "Er", "In", "In", "In"], "frac_coords": [[0.5233, 0.0465, 0.8762], [0.8690, 0.7379, 0.9057], [0.6920, 0.3840, 0.3929], [0.9419, 0.8837, 0.5982], [0.0581, 0.1163, 0.4018], [0.1310, 0.2621, 0.0943], [0.3844, 0.7688, 0.3145], [0.6156, 0.2312, 0.6855], [0.3080, 0.6160, 0.6071], [0.2285, 0.4570, 0.8630], [0.4767, 0.9535, 0.1238], [0.7715, 0.5430, 0.1370]], "formation_enthalpy_0k_ev_per_fu": -1.45, "de_polymorph_mev_per_atom": 119.7, "total_magnetization_mub_per_fu": 0.3, "total_energy_ev_per_atom": -4.51}

***

{"formula": "YEr2In4", "functional": "PBE", "state": "optimized geometry", "lattice": [[0.9977, 5.4745, 3.1477], [-2.4136, 1.3223, -5.7706], [-4.0813, -3.6128, 3.3413]], "species": ["Y", "In", "In", "Er", "In", "Er", "In"], "frac_coords": [[0.0000, 0.0000, 0.0000], [0.0000, 0.5000, 0.0000], [0.0000, 0.0000, 0.5000], [0.5000, 0.5000, 0.0000], [0.5000, 0.5000, 0.5000], [0.5000, 0.0000, 0.5000], [0.5000, 0.0000, 0.0000]], "formation_enthalpy_0k_ev_per_fu": -2.28, "total_magnetization_mub_per_fu": 0.0, "total_energy_ev_per_atom": -4.12}

***

{"formula": "Y2ErIn", "functional": "PBE", "state": "optimized geometry", "lattice": [[5.2284, 0.0000, 0.0000], [0.0000, 6.3397, -1.9018], [0.0000, 0.1776, 6.9988]], "species": ["Er", "Y", "In", "Y", "Y", "In", "Er", "Y"], "frac_coords": [[0.2500, 0.3733, 0.7284], [0.7500, 0.1736, 0.4166], [0.2500, 0.3678, 0.2133], [0.2500, 0.8264, 0.5834], [0.2500, 0.8605, 0.0911], [0.7500, 0.6322, 0.7867], [0.7500, 0.6267, 0.2716], [0.7500, 0.1395, 0.9089]], "formation_enthalpy_0k_ev_per_fu": -1.06, "de_polymorph_mev_per_atom": 5.3, "total_magnetization_mub_per_fu": 0.0, "total_energy_ev_per_atom": -5.32}

***

{"formula": "Y3ErIn2", "functional": "PBE", "state": "optimized geometry", "lattice": [[-1.3425, -2.7615, -3.8265], [6.6337, -5.7678, 1.8350], [-7.3821, 0.2665, 5.5536]], "species": ["In", "In", "Y", "Y", "Er", "Y", "Y", "Er", "In", "Y", "In", "Y"], "frac_coords": [[0.6535, 0.1534, 0.3070], [0.3465, 0.3466, 0.6930], [0.1725, 0.9225, 0.3451], [0.8275, 0.0775, 0.6549], [0.0000, 0.5000, 0.0000], [0.5000, 0.7500, 0.0000], [0.5000, 0.2500, 0.0000], [0.0000, 0.0000, 0.0000], [0.3465, 0.8466, 0.6930], [0.1725, 0.4225, 0.3451], [0.6535, 0.6534, 0.3070], [0.8275, 0.5775, 0.6549]], "formation_enthalpy_0k_ev_per_fu": -1.90, "de_polymorph_mev_per_atom": 66.4, "total_magnetization_mub_per_fu": 0.0, "total_energy_ev_per_atom": -5.22}